# 1
PBE ZnH9C10N3O6, relaxed; SG = P-1; final energy = -6.624 eV/atom
1.0
7.030 0.000 0.000
-2.919 6.524 0.000
-3.240 -2.346 11.823
Zn H C N O
2 18 20 6 12
direct
0.184 0.195 0.458
0.816 0.805 0.542
0.026 0.345 0.038
0.068 0.767 0.449
0.083 0.495 0.380
0.238 0.646 0.849
0.242 0.897 0.581
0.284 0.040 0.798
0.299 0.540 0.231
0.323 0.606 0.471
0.494 0.156 0.963
0.506 0.844 0.037
0.677 0.394 0.529
0.701 0.460 0.769
0.716 0.960 0.202
0.758 0.103 0.419
0.762 0.354 0.151
0.917 0.505 0.620
0.932 0.233 0.551
0.974 0.655 0.962
0.129 0.040 0.798
0.187 0.348 0.065
0.201 0.000 0.253
0.244 0.241 0.991
0.289 0.421 0.687
0.339 0.456 0.170
0.400 0.650 0.875
0.429 0.082 0.331
0.450 0.240 0.021
0.454 0.541 0.799
0.546 0.459 0.201
0.550 0.760 0.979
0.571 0.918 0.669
0.600 0.350 0.125
0.661 0.544 0.830
0.711 0.579 0.313
0.756 0.759 0.009
0.799 0.000 0.747
0.813 0.652 0.935
0.871 0.960 0.202
0.054 0.045 0.289
0.092 0.133 0.883
0.118 0.890 0.148
0.882 0.110 0.852
0.908 0.867 0.117
0.946 0.955 0.711
0.098 0.414 0.665
0.120 0.888 0.512
0.218 0.478 0.413
0.350 0.327 0.623
0.430 0.955 0.698
0.463 0.191 0.427
0.537 0.809 0.573
0.570 0.045 0.302
0.650 0.673 0.377
0.782 0.522 0.587
0.880 0.112 0.488
0.902 0.586 0.335

# 2
PBE ZnH5C8NO4, relaxed; SG = P-1; final energy = -6.783 eV/atom
1.0
7.220 0.000 0.000
-3.491 6.593 0.000
-0.181 -2.257 7.695
Zn H C N O
2 10 16 2 8
direct
0.168 0.377 0.011
0.832 0.623 0.989
0.016 0.240 0.263
0.145 0.118 0.170
0.150 0.475 0.545
0.151 0.985 0.519
0.454 0.683 0.785
0.546 0.317 0.215
0.849 0.015 0.481
0.850 0.525 0.455
0.855 0.882 0.830
0.984 0.760 0.737
0.168 0.781 0.201
0.303 0.988 0.510
0.304 0.488 0.524
0.330 0.384 0.364
0.340 0.888 0.354
0.421 0.216 0.817
0.461 0.100 0.655
0.474 0.603 0.660
0.526 0.397 0.340
0.539 0.900 0.345
0.579 0.784 0.183
0.660 0.112 0.646
0.670 0.616 0.636
0.696 0.512 0.476
0.697 0.012 0.490
0.832 0.219 0.799
0.157 0.265 0.223
0.843 0.735 0.777
0.016 0.593 0.184
0.166 0.885 0.097
0.233 0.184 0.823
0.424 0.662 0.060
0.576 0.338 0.940
0.767 0.816 0.177
0.834 0.115 0.903
0.984 0.407 0.816

# 3
PBE ZnH20C22N4O6, relaxed; SG = P2_1; final energy = -6.569 eV/atom
1.0
7.336 0.000 0.000
0.000 18.907 0.000
-2.900 0.000 7.347
Zn H C N O
2 40 44 8 12
direct
0.043 0.000 0.335
0.957 0.500 0.665
0.020 0.733 0.574
0.039 0.783 0.850
0.042 0.326 0.738
0.099 0.921 0.718
0.144 0.134 0.587
0.145 0.221 0.779
0.152 0.379 0.465
0.153 0.793 0.529
0.231 0.997 0.038
0.258 0.858 0.100
0.268 0.462 0.460
0.286 0.391 0.318
0.293 0.596 0.148
0.364 0.507 0.989
0.379 0.668 0.599
0.451 0.888 0.817
0.455 0.394 0.736
0.456 0.069 0.193
0.460 0.791 0.693
0.477 0.170 0.601
0.523 0.670 0.399
0.540 0.291 0.307
0.544 0.569 0.807
0.545 0.894 0.264
0.549 0.388 0.183
0.621 0.168 0.401
0.636 0.007 0.011
0.707 0.096 0.852
0.714 0.891 0.682
0.732 0.962 0.540
0.742 0.358 0.900
0.769 0.497 0.962
0.847 0.293 0.471
0.848 0.879 0.535
0.855 0.721 0.221
0.856 0.634 0.413
0.901 0.421 0.282
0.958 0.826 0.262
0.961 0.283 0.150
0.980 0.233 0.426
0.034 0.642 0.824
0.125 0.977 0.739
0.146 0.087 0.666
0.146 0.759 0.971
0.149 0.360 0.834
0.155 0.685 0.981
0.193 0.014 0.898
0.249 0.209 0.915
0.268 0.800 0.112
0.281 0.404 0.451
0.288 0.653 0.139
0.292 0.140 0.974
0.324 0.451 0.967
0.342 0.264 0.036
0.354 0.911 0.410
0.405 0.768 0.266
0.413 0.694 0.279
0.416 0.393 0.064
0.424 0.124 0.148
0.462 0.378 0.604
0.473 0.249 0.211
0.486 0.679 0.735
0.514 0.179 0.265
0.527 0.749 0.789
0.538 0.878 0.396
0.576 0.624 0.852
0.584 0.893 0.936
0.587 0.194 0.721
0.595 0.268 0.734
0.646 0.411 0.590
0.658 0.764 0.964
0.676 0.951 0.033
0.708 0.640 0.026
0.712 0.153 0.861
0.719 0.904 0.549
0.732 0.300 0.888
0.751 0.709 0.085
0.807 0.514 0.102
0.845 0.185 0.019
0.851 0.860 0.166
0.854 0.259 0.029
0.854 0.587 0.334
0.875 0.477 0.261
0.966 0.142 0.176
0.094 0.023 0.595
0.158 0.430 0.824
0.207 0.084 0.851
0.303 0.335 0.979
0.697 0.835 0.021
0.793 0.584 0.149
0.842 0.930 0.176
0.906 0.523 0.405
0.051 0.574 0.850
0.055 0.756 0.476
0.072 0.170 0.323
0.267 0.882 0.502
0.300 0.970 0.323
0.462 0.303 0.592
0.538 0.803 0.408
0.700 0.470 0.677
0.733 0.382 0.498
0.928 0.670 0.677
0.945 0.256 0.524
0.949 0.074 0.150

# 4
PBE ZnH30C32N4O4, relaxed; SG = P-1; final energy = -6.476 eV/atom
1.0
8.426 0.000 0.000
3.924 8.118 0.000
2.727 0.730 9.958
Zn H C N O
1 30 32 4 4
direct
0.000 0.000 0.000
0.071 0.796 0.759
0.086 0.470 0.662
0.111 0.279 0.354
0.114 0.857 0.420
0.124 0.474 0.141
0.150 0.275 0.600
0.221 0.562 0.375
0.285 0.939 0.534
0.289 0.298 0.688
0.315 0.504 0.810
0.345 0.371 0.960
0.373 0.920 0.729
0.385 0.841 0.041
0.412 0.097 0.856
0.483 0.484 0.892
0.517 0.516 0.108
0.588 0.903 0.144
0.615 0.159 0.959
0.627 0.080 0.271
0.655 0.629 0.040
0.685 0.496 0.190
0.711 0.702 0.312
0.715 0.061 0.466
0.779 0.438 0.625
0.850 0.725 0.400
0.876 0.526 0.859
0.886 0.143 0.580
0.889 0.721 0.646
0.914 0.530 0.338
0.929 0.204 0.241
0.050 0.278 0.813
0.076 0.141 0.222
0.097 0.603 0.108
0.147 0.336 0.684
0.177 0.182 0.284
0.210 0.633 0.989
0.234 0.762 0.452
0.293 0.600 0.427
0.329 0.809 0.518
0.331 0.938 0.111
0.346 0.488 0.910
0.365 0.100 0.253
0.442 0.972 0.168
0.450 0.477 0.467
0.481 0.147 0.306
0.485 0.693 0.559
0.515 0.307 0.441
0.519 0.853 0.694
0.550 0.523 0.533
0.558 0.028 0.832
0.635 0.900 0.747
0.654 0.512 0.090
0.669 0.062 0.889
0.671 0.191 0.482
0.707 0.400 0.573
0.766 0.238 0.548
0.790 0.367 0.011
0.823 0.818 0.716
0.853 0.664 0.316
0.903 0.397 0.892
0.924 0.859 0.778
0.950 0.722 0.187
0.152 0.023 0.134
0.409 0.266 0.384
0.591 0.734 0.616
0.848 0.977 0.866
0.114 0.121 0.840
0.208 0.775 0.939
0.792 0.225 0.061
0.886 0.879 0.160

# 5
PBE ZnH9C4NO6, relaxed; SG = Pnma; final energy = -5.823 eV/atom
1.0
8.111 0.000 0.000
0.000 11.507 0.000
0.000 0.000 8.085
Zn H C N O
4 36 16 4 24
direct
0.000 0.000 0.000
0.000 0.500 0.000
0.500 0.000 0.500
0.500 0.500 0.500
0.017 0.250 0.073
0.091 0.750 0.340
0.092 0.250 0.343
0.148 0.172 0.526
0.148 0.328 0.526
0.150 0.676 0.511
0.150 0.824 0.511
0.214 0.534 0.285
0.214 0.966 0.285
0.286 0.034 0.785
0.286 0.466 0.785
0.350 0.176 0.011
0.350 0.324 0.011
0.352 0.672 0.026
0.352 0.828 0.026
0.408 0.750 0.843
0.409 0.250 0.840
0.483 0.750 0.573
0.517 0.250 0.427
0.591 0.750 0.160
0.592 0.250 0.157
0.648 0.172 0.974
0.648 0.328 0.974
0.650 0.676 0.989
0.650 0.824 0.989
0.714 0.534 0.215
0.714 0.966 0.215
0.786 0.034 0.715
0.786 0.466 0.715
0.850 0.176 0.489
0.850 0.324 0.489
0.852 0.672 0.474
0.852 0.828 0.474
0.908 0.750 0.657
0.909 0.250 0.660
0.983 0.750 0.927
0.013 0.750 0.060
0.087 0.250 0.479
0.215 0.533 0.718
0.215 0.967 0.718
0.285 0.033 0.218
0.285 0.467 0.218
0.413 0.750 0.979
0.487 0.250 0.560
0.513 0.750 0.440
0.587 0.250 0.021
0.715 0.533 0.782
0.715 0.967 0.782
0.785 0.033 0.282
0.785 0.467 0.282
0.913 0.750 0.521
0.987 0.250 0.940
0.087 0.750 0.468
0.413 0.250 0.968
0.587 0.750 0.032
0.913 0.250 0.532
0.030 0.654 0.135
0.030 0.846 0.135
0.090 0.578 0.784
0.090 0.922 0.784
0.235 0.060 0.073
0.235 0.440 0.073
0.265 0.560 0.573
0.265 0.940 0.573
0.410 0.078 0.284
0.410 0.422 0.284
0.470 0.154 0.635
0.470 0.346 0.635
0.530 0.654 0.365
0.530 0.846 0.365
0.590 0.578 0.716
0.590 0.922 0.716
0.735 0.060 0.427
0.735 0.440 0.427
0.765 0.560 0.927
0.765 0.940 0.927
0.910 0.078 0.216
0.910 0.422 0.216
0.970 0.154 0.865
0.970 0.346 0.865

# 6
PBE ZnH18C8N2O4, relaxed; SG = C2/c; final energy = -5.591 eV/atom
1.0
7.174 -3.420 0.000
7.174 3.420 0.000
-3.935 0.000 10.959
Zn H C N O
2 36 16 4 8
direct
0.155 0.845 0.750
0.845 0.155 0.250
0.009 0.730 0.049
0.012 0.440 0.896
0.068 0.364 0.690
0.097 0.127 0.592
0.097 0.310 0.215
0.127 0.097 0.092
0.172 0.251 0.426
0.230 0.746 0.376
0.251 0.172 0.926
0.254 0.770 0.124
0.270 0.991 0.451
0.295 0.533 0.249
0.310 0.097 0.715
0.349 0.437 0.470
0.364 0.068 0.190
0.437 0.349 0.970
0.440 0.012 0.396
0.467 0.705 0.251
0.533 0.295 0.749
0.560 0.988 0.604
0.563 0.651 0.030
0.636 0.932 0.810
0.651 0.563 0.530
0.690 0.903 0.285
0.705 0.467 0.751
0.730 0.009 0.549
0.746 0.230 0.876
0.749 0.828 0.074
0.770 0.254 0.624
0.828 0.749 0.574
0.873 0.903 0.908
0.903 0.690 0.785
0.903 0.873 0.408
0.932 0.636 0.310
0.988 0.560 0.104
0.991 0.270 0.951
0.075 0.270 0.892
0.132 0.194 0.686
0.194 0.132 0.186
0.205 0.711 0.276
0.270 0.075 0.392
0.284 0.536 0.557
0.289 0.795 0.224
0.464 0.716 0.943
0.536 0.284 0.057
0.711 0.205 0.776
0.716 0.464 0.443
0.730 0.925 0.608
0.795 0.289 0.724
0.806 0.868 0.814
0.868 0.806 0.314
0.925 0.730 0.108
0.034 0.176 0.766
0.176 0.034 0.266
0.824 0.966 0.734
0.966 0.824 0.234
0.230 0.473 0.616
0.272 0.714 0.591
0.286 0.728 0.909
0.473 0.230 0.116
0.527 0.770 0.884
0.714 0.272 0.091
0.728 0.286 0.409
0.770 0.527 0.384

- Which of these has the lowest final energy?
  ZnH5C8NO4